[1]
## AcLaGaN3 (PBE)

Data for AcLaGaN3 after structural relaxation.

Size of the total moment: 0.00 μB per cell
Crystal system: monoclinic
Theoretical density: 7152 kg/m³
Formation energy without anion corrections: -81.4 kJ/mol of atoms

The structure in POSCAR format:
```
AcLaGaN3
1.0
-2.9725 0.5212 -2.0679
3.9531 -2.3967 -6.2865
-2.5358 -7.1320 1.8476
Ac N La Ga
2 6 2 2
Direct
0.2500 0.6255 0.1897
0.7500 0.3745 0.8103
0.7500 0.8786 0.1456
0.2500 0.8498 0.4912
0.7500 0.3738 0.1272
0.2500 0.6262 0.8728
0.7500 0.1502 0.5088
0.2500 0.1214 0.8544
0.7500 0.8393 0.8359
0.2500 0.1607 0.1641
0.7500 0.9146 0.3942
0.2500 0.0854 0.6058
```

[2]
## PmSmTe2 (PBE)

Data for PmSmTe2 after structural relaxation.

Size of the total moment: 0.50 μB per cell
Crystal system: cubic
Relative energy among the computed polymorphs: 114.5 meV per atom
Theoretical density: 8025 kg/m³
Formation energy without anion corrections: -124.3 kJ/mol of atoms

The structure in POSCAR format:
```
PmSmTe2
1.0
-2.5467 4.5074 1.6753
-4.2912 1.8869 -2.7630
-4.9848 -0.3333 2.1562
Sm Pm Te
1 1 2
Direct
0.5000 0.5000 0.5000
0.0000 0.0000 0.0000
0.7500 0.7500 0.7500
0.2500 0.2500 0.2500
```

[3]
## K2WN (PBE)

Data for K2WN after structural relaxation.

Size of the total moment: 3.95 μB per cell
Crystal system: tetragonal
Theoretical density: 3228 kg/m³
Formation energy without anion corrections: 53.8 kJ/mol of atoms

The structure in POSCAR format:
```
K2WN
1.0
-11.6720 0.9999 2.7697
0.2405 -10.9610 4.9704
-5.2379 -4.1868 5.5973
K N W
4 2 2
Direct
0.4271 0.1250 0.2500
0.3750 0.5729 0.7500
0.8750 0.6771 0.7500
0.3229 0.6250 0.2500
0.5000 0.5000 0.0000
0.2500 0.7500 0.5000
0.7500 0.2500 0.5000
0.0000 0.0000 0.0000
```

[4]
## Pu4IrRu (PBE)

Data for Pu4IrRu after structural relaxation.

Size of the total moment: 0.53 μB per cell
Crystal system: monoclinic
ΔH_f (0 K): -174 meV/atom
Relative energy among the computed polymorphs: 33.7 meV per atom
Theoretical density: 19343 kg/m³

The structure in POSCAR format:
```
Pu4IrRu
1.0
5.1269 1.0072 -1.1926
1.1391 5.2020 -1.2516
-1.0344 -0.9197 4.6520
Pu Ru Ir
4 1 1
Direct
0.4825 0.8297 0.2383
0.0129 0.6534 0.9154
0.5884 0.0955 0.9241
0.9265 0.4106 0.2506
0.4699 0.4726 0.5534
0.0276 0.0219 0.6070
```

[5]
## Pr3YSn4 (PBE)

Data for Pr3YSn4 after structural relaxation.

Size of the total moment: 0.00 μB per cell
Crystal system: orthorhombic
ΔH_f (0 K): -583 meV/atom
Theoretical density: 6366 kg/m³

The structure in POSCAR format:
```
Pr3YSn4
1.0
-2.1910 -2.1454 -2.6985
-2.2826 -4.2781 5.2546
-4.6467 8.5416 0.0734
Pr Sn Y
3 4 1
Direct
0.0000 0.5000 0.0000
0.2050 0.2050 0.4100
0.7950 0.7950 0.5900
0.6278 0.8327 0.2555
0.6278 0.4228 0.2556
0.3722 0.1673 0.7445
0.3722 0.5772 0.7444
0.5000 0.0000 0.0000
```

[6]
## Ce6MgPb5 (PBE)

Data for Ce6MgPb5 after structural relaxation.

Size of the total moment: 7.39 μB per cell
Crystal system: orthorhombic
ΔH_f (0 K): -331 meV/atom
Theoretical density: 9025 kg/m³

The structure in POSCAR format:
```
Ce6MgPb5
1.0
-4.9546 -0.1694 -0.7310
3.5921 -6.2529 -5.7280
1.3265 -2.5089 8.7611
Pb Ce Mg
5 6 1
Direct
0.0000 0.6672 0.3328
0.0000 0.3328 0.6672
0.5000 0.1546 0.8454
0.5000 0.8454 0.1546
0.5000 0.5000 0.5000
0.7542 0.2543 0.2543
0.2515 0.4211 0.0820
0.7485 0.5789 0.9180
0.7485 0.9180 0.5789
0.2515 0.0820 0.4211
0.2458 0.7457 0.7457
0.0000 0.0000 0.0000
```